The following is a GGA-PBE calculation of a geometry-optimized Ca2CoI2 structure, from Alexandria.

Lattice parameters (Å, degrees): 8.052 8.052 4.857 90.00 90.00 90.00
Each line ends with the local moment (μB).
Fractional coordinates of all 10 atoms:
I 0.156 0.656 0.500  0.00
I 0.656 0.844 0.500  0.00
I 0.844 0.344 0.500  0.00
I 0.344 0.156 0.500  0.00
Ca 0.328 0.828 0.000  -0.08
Ca 0.828 0.672 0.000  -0.08
Ca 0.672 0.172 0.000  -0.08
Ca 0.172 0.328 0.000  -0.08
Co 0.000 0.000 0.000  1.53
Co 0.500 0.500 0.000  1.53

- ΔE to the lowest computed polymorph: 0.000 eV per formula unit
- SG: P4/mbm
- Electronic total energy: -31.04 eV/cell
- Formation energy (no corrections): -0.26 eV/atom